Record 1
This record from Alexandria via LeMat-Bulk describes an optimized crystal structure of TlCd6Hg6. The functional is PBE-GGA.

## Properties
- Energy of formation from the pure elements: 22 meV/atom
- Space-group type: P6/mmm, No. 191
- Calculated volume: 329.5 Å³/f.u.
- DFT total energy: -0.722 eV/atom

a = 6.1124 Å, b = 6.1124 Å, c = 10.1841 Å
α = 90.00°, β = 90.00°, γ = 120.00°
Closest atoms and distances in Å follow each position.
Sites, in units of the cell vectors:
Tl: 0.0000 0.0000 0.0000  8 Hg 3.53-3.59
Cd: 0.0000 0.5000 0.7501  4 Cd 3.06, 6 Hg 3.10-3.23
Cd: 0.5000 0.0000 0.7501  4 Cd 3.06, 6 Hg 3.10-3.23
Cd: 0.5000 0.5000 0.7501  4 Cd 3.06, 6 Hg 3.10-3.23
Cd: 0.5000 0.0000 0.2499  4 Cd 3.06, 6 Hg 3.10-3.23
Cd: 0.0000 0.5000 0.2499  4 Cd 3.06, 6 Hg 3.10-3.23
Cd: 0.5000 0.5000 0.2499  4 Cd 3.06, 6 Hg 3.10-3.23
Hg: 0.0000 0.0000 0.6471  1 Hg 3.00, 6 Cd 3.23
Hg: 0.0000 0.0000 0.3529  1 Hg 3.00, 6 Cd 3.23
Hg: 0.3333 0.6667 0.0000  6 Cd 3.10
Hg: 0.6667 0.3333 0.0000  6 Cd 3.10
Hg: 0.3333 0.6667 0.5000  6 Cd 3.10
Hg: 0.6667 0.3333 0.5000  6 Cd 3.10


Record 2
This record from Alexandria via LeMat-Bulk describes an optimized crystal structure of LiSb2TeIr. The functional is PBE-GGA.

## Properties
- Space-group type: P4/mmm, No. 123
- Calculated volume: 165.8 Å³/f.u.
- DFT total energy: -3.528 eV/atom
- E_form (uncorrected): 904 meV/atom

a = 5.8516 Å, b = 4.8424 Å, c = 5.8516 Å
α = 90.00°, β = 90.00°, γ = 90.00°
Closest atoms and distances in Å follow each position.
Sites, in units of the cell vectors:
Sb: 0.0000 0.0000 0.5000  2 Te 2.93
Sb: 0.5000 0.0000 0.0000  2 Te 2.93
Ir: 0.0000 0.5000 0.0000  2 Te 2.42
Te: 0.0000 0.0000 0.0000  2 Ir 2.42
Li: 0.5000 0.5000 0.5000  8 Sb 3.80, 4 Ir 4.14


Record 3
This record from Alexandria via LeMat-Bulk describes an optimized crystal structure of IrPtAu2. The functional is PBE-GGA.

## Properties
- Energy of formation from the pure elements: 166 meV/atom
- Space-group type: P4mm, No. 99
- Calculated volume: 66.2 Å³/f.u.
- DFT total energy: -5.198 eV/atom

a = 2.8294 Å, b = 2.8294 Å, c = 8.2747 Å
α = 90.00°, β = 90.00°, γ = 90.00°
Closest atoms and distances in Å follow each position.
Sites, in units of the cell vectors:
Au: 0.0000 0.0000 0.9923  8 Au 2.83-2.99, 4 Pt 2.93
Au: 0.5000 0.5000 0.2610  8 Au 2.83-2.99, 4 Ir 2.89
Ir: 0.0000 0.0000 0.5124  4 Pt 2.72, 4 Ir 2.83, 4 Au 2.89
Pt: 0.5000 0.5000 0.7343  4 Ir 2.72, 4 Pt 2.83, 4 Au 2.93